## Tb5Pm4Nd (PBE)

Data for a geometry-optimized Tb5Pm4Nd structure.

Lattice parameters (Å, degrees): 6.0755 8.0972 8.0972 81.91 67.97 67.97
Closest atoms and distances in Å follow each position.
Atoms (fractional coordinates):
Tb1 0.7504 0.3786 0.0000  3 Tb 3.25-3.54, 1 Nd 3.28, 2 Pm 3.31
Tb2 0.1290 0.0000 0.6214  3 Tb 3.25-3.54, 1 Nd 3.28, 2 Pm 3.31
Tb3 0.7504 0.0000 0.3786  3 Tb 3.25-3.54, 1 Nd 3.28, 2 Pm 3.31
Tb4 0.1290 0.6214 0.0000  3 Tb 3.25-3.54, 1 Nd 3.28, 2 Pm 3.31
Tb5 0.6790 0.0000 0.0000  1 Nd 2.86
Pm1 0.4659 0.3259 0.6741  3 Tb 3.31-3.69, 1 Pm 3.70
Pm2 0.7917 0.6741 0.6741  3 Tb 3.31-3.69, 1 Pm 3.70
Pm3 0.1400 0.3259 0.3259  3 Tb 3.31-3.69, 1 Pm 3.70
Pm4 0.4659 0.6741 0.3259  3 Tb 3.31-3.69, 1 Pm 3.70
Nd1 0.2089 0.0000 0.0000  1 Tb 2.86

## Properties
calculated volume = 342.3 Å³/f.u.
DFT total energy = -44.5 eV per cell
energy above the most stable polymorph in this dataset = 232.6 meV per atom
energy relative to the elements = 0.25 eV per atom